(1)
Entry from the Alexandria database: a geometry-optimized Cs2Bi2F structure (GGA-PBE).

a = 8.152 Å, b = 8.152 Å, c = 6.970 Å
α = 90.00°, β = 90.00°, γ = 90.00°
Space group P4/mbm (No. 127)
Inequivalent atoms, fractional coordinates:
Cs  0.199  0.301  0.000 [4 per cell]
Bi  0.121  0.621  0.500 [4 per cell]
F  0.000  0.000  0.000 [2 per cell]

Computed properties:
For the polymorph energy (0 for the lowest one), the calculation gives 0.00 eV/f.u. For the formation energy from raw total energies, the calculation gives -4.40 eV per formula unit.


(2)
Entry from the Alexandria database: a geometry-optimized CaPtRh structure (GGA-PBE).

a = 4.5540 Å, b = 4.5540 Å, c = 3.1499 Å
α = 90.00°, β = 90.00°, γ = 120.00°
Space group P-6m2 (No. 187)
Inequivalent atoms, fractional coordinates:
Ca  0.0000  0.0000  0.0000 [1 per cell]
Pt  0.3333  0.6667  0.5000 [1 per cell]
Rh  0.6667  0.3333  0.5000 [1 per cell]

Computed properties:
For the polymorph energy (0 for the lowest one), the calculation gives 1.05 eV/f.u.


(3)
Entry from the Alexandria database: a geometry-optimized AcScBi structure (GGA-PBE).

a = 4.735 Å, b = 4.735 Å, c = 17.421 Å
α = 90.00°, β = 90.00°, γ = 90.00°
Space group I4/mmm (No. 139)
Inequivalent atoms, fractional coordinates:
Ac  0.000  0.000  0.172 [4 per cell]
Sc  0.000  0.500  0.000 [4 per cell]
Bi  0.000  0.000  0.380 [4 per cell]

Computed properties:
For the polymorph energy (0 for the lowest one), the calculation gives 0.00 eV/f.u.


(4)
Entry from the Alexandria database: a geometry-optimized MgCd2Ag structure (GGA-PBE).

a = 3.151 Å, b = 23.158 Å, c = 4.713 Å
α = 90.00°, β = 90.00°, γ = 90.00°
Space group Cmcm (No. 63)
Inequivalent atoms, fractional coordinates:
Mg  0.000  0.147  0.250 [4 per cell]
Cd  0.000  0.279  0.250 [4 per cell]
Cd  0.000  0.467  0.750 [4 per cell]
Ag  0.000  0.400  0.250 [4 per cell]

Computed properties:
For the polymorph energy (0 for the lowest one), the calculation gives 0.24 eV/f.u.


(5)
Entry from the Alexandria database: a geometry-optimized Na4Zr3MnSe8 structure (GGA-PBE).

a = 13.455 Å, b = 7.766 Å, c = 8.391 Å
α = 90.00°, β = 122.32°, γ = 90.00°
Space group C2/m (No. 12)
Inequivalent atoms, fractional coordinates:
Na  0.000  0.000  0.000 [2 per cell]
Na  0.000  0.500  0.000 [2 per cell]
Na  0.250  0.250  0.000 [4 per cell]
Zr  0.000  0.000  0.500 [2 per cell]
Zr  0.250  0.250  0.500 [4 per cell]
Mn  0.000  0.500  0.500 [2 per cell]
Se  0.009  0.252  0.279 [8 per cell]
Se  0.240  0.500  0.721 [4 per cell]
Se  0.243  0.000  0.727 [4 per cell]

Computed properties:
For the formation energy from raw total energies, the calculation gives -19.13 eV per formula unit.


(6)
Entry from the Alexandria database: a geometry-optimized Rb2USiS6 structure (GGA-PBE).

a = 6.9290 Å, b = 6.9290 Å, c = 16.9719 Å
α = 90.00°, β = 90.00°, γ = 120.00°
Space group R-3 (No. 148, hexagonal axes)
Inequivalent atoms, fractional coordinates:
Rb  0.0000  0.0000  0.2500 [6 per cell]
U  0.0000  0.0000  0.0000 [3 per cell]
Si  0.0000  0.0000  0.5000 [3 per cell]
S  0.0160  0.5087  0.2461 [18 per cell]

Computed properties:
For the formation energy from raw total energies, the calculation gives -9.07 eV per formula unit.


(7)
Entry from the Alexandria database: a geometry-optimized Er4Tm3Pt4 structure (GGA-PBE).

a = 3.752 Å, b = 8.683 Å, c = 16.221 Å
α = 90.00°, β = 90.00°, γ = 90.00°
Space group Immm (No. 71)
Inequivalent atoms, fractional coordinates:
Er  0.000  0.188  0.166 [8 per cell]
Tm  0.000  0.000  0.402 [4 per cell]
Tm  0.000  0.500  0.500 [2 per cell]
Pt  0.000  0.291  0.000 [4 per cell]
Pt  0.000  0.500  0.243 [4 per cell]

Computed properties:
For the total energy, the calculation gives -0.4432 Ry/atom.


(8)
Entry from the Alexandria database: a geometry-optimized Ce5Th2In4 structure (GGA-PBE).

a = 8.536 Å, b = 3.284 Å, c = 11.165 Å
α = 90.00°, β = 99.47°, γ = 90.00°
Space group P2/m (No. 10)
Inequivalent atoms, fractional coordinates:
Ce  0.000  0.000  0.000 [1 per cell]
Ce  0.018  0.000  0.310 [2 per cell]
Ce  0.285  0.000  0.820 [2 per cell]
Th  0.419  0.000  0.343 [2 per cell]
In  0.240  0.500  0.548 [2 per cell]
In  0.348  0.500  0.085 [2 per cell]

Computed properties:
For the total energy, the calculation gives -0.3802 Ry/atom.


Number 1: total magnetic moment 1.8 μB per cell. Number 2: total magnetic moment 0.0 μB per cell. Number 3: total magnetic moment 2.2 μB per cell. Number 4: total magnetic moment 0.0 μB per cell. Number 5: total magnetic moment 9.6 μB per cell. Number 6: total magnetic moment 0.5 μB per cell. Number 7: total magnetic moment 0.0 μB per cell. Number 8: total magnetic moment 3.4 μB per cell.